A relaxed BaY2PtO5 crystal. Source: the Alexandria database, functional GGA-PBE.

```
data_BaY2PtO5
_chemical_formula_sum 'Ba2 Y4 Pt2 O10'
_cell_length_a 6.613
_cell_length_b 6.613
_cell_length_c 5.953
_cell_angle_alpha 90.00
_cell_angle_beta 90.00
_cell_angle_gamma 90.00
_space_group_name_H-M_alt 'P 4/m b m'
_space_group_IT_number 127
_space_group_name_Hall '-P 4 2ab'
loop_
_atom_site_label
_atom_site_type_symbol
_atom_site_fract_x
_atom_site_fract_y
_atom_site_fract_z
Ba1 Ba 0.000 0.000 0.000
Y1 Y 0.175 0.325 0.500
Pt1 Pt 0.000 0.500 0.000
O1 O 0.000 0.000 0.500
O2 O 0.139 0.639 0.262
```

***

A relaxed Ba2YPt2O6 crystal. Source: the Alexandria database, functional GGA-PBE.

```
data_Ba2YPt2O6
_chemical_formula_sum 'Ba6 Y3 Pt6 O18'
_cell_length_a 6.2070
_cell_length_b 6.2070
_cell_length_c 17.8706
_cell_angle_alpha 90.00
_cell_angle_beta 90.00
_cell_angle_gamma 120.00
_space_group_name_H-M_alt 'R -3 m'
_space_group_IT_number 166
_space_group_name_Hall '-R 3 2"'
loop_
_atom_site_label
_atom_site_type_symbol
_atom_site_fract_x
_atom_site_fract_y
_atom_site_fract_z
Ba1 Ba 0.0000 0.0000 0.2153
Y1 Y 0.0000 0.0000 0.0000
Pt1 Pt 0.0000 0.0000 0.4134
O1 O 0.0316 0.5158 0.7553
```

***

A relaxed Ba3YPt2O9 crystal. Source: the Alexandria database, functional GGA-PBE.

```
data_Ba3YPt2O9
_chemical_formula_sum 'Ba3 Y1 Pt2 O9'
_cell_length_a 5.9136
_cell_length_b 5.9136
_cell_length_c 7.2897
_cell_angle_alpha 90.00
_cell_angle_beta 90.00
_cell_angle_gamma 120.00
_space_group_name_H-M_alt 'P -3 m 1'
_space_group_IT_number 164
_space_group_name_Hall '-P 3 2"'
loop_
_atom_site_label
_atom_site_type_symbol
_atom_site_fract_x
_atom_site_fract_y
_atom_site_fract_z
Ba1 Ba 0.0000 0.0000 0.0000
Ba2 Ba 0.3333 0.6667 0.6815
Y1 Y 0.0000 0.0000 0.5000
Pt1 Pt 0.3333 0.6667 0.1637
O1 O 0.0000 0.5000 0.0000
O2 O 0.1753 0.3506 0.3214
```

***

A relaxed Ba2YPt3O12 crystal. Source: the Alexandria database, functional GGA-PBE.

```
data_Ba2YPt3O12
_chemical_formula_sum 'Ba6 Y3 Pt9 O36'
_cell_length_a 7.3189
_cell_length_b 7.3189
_cell_length_c 17.1244
_cell_angle_alpha 90.00
_cell_angle_beta 90.00
_cell_angle_gamma 120.00
_space_group_name_H-M_alt 'R -3 m'
_space_group_IT_number 166
_space_group_name_Hall '-R 3 2"'
loop_
_atom_site_label
_atom_site_type_symbol
_atom_site_fract_x
_atom_site_fract_y
_atom_site_fract_z
Ba1 Ba 0.0000 0.0000 0.1148
Y1 Y 0.0000 0.0000 0.5000
Pt1 Pt 0.0000 0.5000 0.0000
O1 O 0.0055 0.5027 0.8857
O2 O 0.0462 0.5231 0.3282
```

***

A relaxed BaYPtO6 crystal. Source: the Alexandria database, functional GGA-PBE.

```
data_BaYPtO6
_chemical_formula_sum 'Ba1 Y1 Pt1 O6'
_cell_length_a 5.6486
_cell_length_b 5.6486
_cell_length_c 5.6783
_cell_angle_alpha 90.00
_cell_angle_beta 90.00
_cell_angle_gamma 120.00
_space_group_name_H-M_alt 'P 3 1 2'
_space_group_IT_number 149
loop_
_space_group_symop_operation_xyz
'x,y,z'
'-y,x-y,z'
'-x+y,-x,z'
'-y,-x,-z'
'-x+y,y,-z'
'x,x-y,-z'
loop_
_atom_site_label
_atom_site_type_symbol
_atom_site_fract_x
_atom_site_fract_y
_atom_site_fract_z
Ba1 Ba 0.0000 0.0000 0.0000
Y1 Y 0.3333 0.6667 0.5000
Pt1 Pt 0.6667 0.3333 0.5000
O1 O 0.3920 0.0400 0.6981
```

***

A relaxed Ba17Y16Zn8Pt4O57 crystal. Source: the Alexandria database, functional GGA-PBE.

```
data_Ba17Y16Zn8Pt4O57
_chemical_formula_sum 'Ba34 Y32 Zn16 Pt8 O114'
_cell_length_a 23.172
_cell_length_b 23.172
_cell_length_c 5.778
_cell_angle_alpha 90.00
_cell_angle_beta 90.00
_cell_angle_gamma 90.00
_space_group_name_H-M_alt 'I 4/m'
_space_group_IT_number 87
_space_group_name_Hall '-I 4'
loop_
_atom_site_label
_atom_site_type_symbol
_atom_site_fract_x
_atom_site_fract_y
_atom_site_fract_z
Ba1 Ba 0.000 0.000 0.000
Ba2 Ba 0.059 0.568 0.500
Ba3 Ba 0.113 0.277 0.000
Ba4 Ba 0.149 0.159 0.500
Ba5 Ba 0.189 0.732 0.000
Y1 Y 0.007 0.250 0.500
Y2 Y 0.011 0.100 0.500
Y3 Y 0.049 0.674 0.000
Y4 Y 0.053 0.828 0.000
Zn1 Zn 0.076 0.134 0.000
Zn2 Zn 0.121 0.713 0.500
Pt1 Pt 0.083 0.356 0.500
O1 O 0.000 0.000 0.500
O2 O 0.023 0.333 0.258
O3 O 0.028 0.176 0.249
O4 O 0.055 0.565 0.000
O5 O 0.066 0.910 0.250
O6 O 0.072 0.752 0.249
O7 O 0.109 0.269 0.500
O8 O 0.123 0.644 0.245
O9 O 0.157 0.160 0.000
O10 O 0.201 0.740 0.500
```

***

A relaxed Ba3Zn2PtO6 crystal. Source: the Alexandria database, functional GGA-PBE.

```
data_Ba3Zn2PtO6
_chemical_formula_sum 'Ba3 Zn2 Pt1 O6'
_cell_length_a 5.9419
_cell_length_b 5.9419
_cell_length_c 6.9775
_cell_angle_alpha 90.00
_cell_angle_beta 90.00
_cell_angle_gamma 120.00
_space_group_name_H-M_alt 'P -3 m 1'
_space_group_IT_number 164
_space_group_name_Hall '-P 3 2"'
loop_
_atom_site_label
_atom_site_type_symbol
_atom_site_fract_x
_atom_site_fract_y
_atom_site_fract_z
Ba1 Ba 0.0000 0.0000 0.0000
Ba2 Ba 0.3333 0.6667 0.6406
Zn1 Zn 0.3333 0.6667 0.1903
Pt1 Pt 0.0000 0.0000 0.5000
O1 O 0.1618 0.3237 0.3169
```

***

A relaxed BaPuO2 crystal. Source: the Alexandria database, functional GGA-PBE.

```
data_BaPuO2
_chemical_formula_sum 'Ba1 Pu1 O2'
_cell_length_a 3.188
_cell_length_b 3.188
_cell_length_c 6.480
_cell_angle_alpha 90.00
_cell_angle_beta 90.00
_cell_angle_gamma 90.00
_space_group_name_H-M_alt 'P 4/m m m'
_space_group_IT_number 123
_space_group_name_Hall '-P 4 2'
loop_
_atom_site_label
_atom_site_type_symbol
_atom_site_fract_x
_atom_site_fract_y
_atom_site_fract_z
Ba1 Ba 0.000 0.000 0.000
Pu1 Pu 0.000 0.000 0.500
O1 O 0.500 0.500 0.279
```

Values from the calculation:
E above lowest polymorph = 0.508 eV per atom

***

A relaxed Ba2Pu2O5 crystal. Source: the Alexandria database, functional GGA-PBE.

```
data_Ba2Pu2O5
_chemical_formula_sum 'Ba8 Pu8 O20'
_cell_length_a 17.443
_cell_length_b 6.425
_cell_length_c 6.280
_cell_angle_alpha 90.00
_cell_angle_beta 90.00
_cell_angle_gamma 90.00
_space_group_name_H-M_alt 'I m a 2'
_space_group_IT_number 46
loop_
_space_group_symop_operation_xyz
'x,y,z'
'-x,-y,z'
'-x+1/2,y,z'
'x+1/2,-y,z'
'x+1/2,y+1/2,z+1/2'
'-x+1/2,-y+1/2,z+1/2'
'-x,y+1/2,z+1/2'
'x,-y+1/2,z+1/2'
loop_
_atom_site_label
_atom_site_type_symbol
_atom_site_fract_x
_atom_site_fract_y
_atom_site_fract_z
Ba1 Ba 0.113 0.017 0.000
Pu1 Pu 0.000 0.000 0.495
Pu2 Pu 0.250 0.547 0.017
O1 O 0.014 0.747 0.247
O2 O 0.131 0.064 0.481
O3 O 0.250 0.646 0.353
```

Values from the calculation:
E above lowest polymorph = 0.000 eV per atom

***

A relaxed Ba2PuO8 crystal. Source: the Alexandria database, functional GGA-PBE.

```
data_Ba2PuO8
_chemical_formula_sum 'Ba4 Pu2 O16'
_cell_length_a 11.326
_cell_length_b 6.065
_cell_length_c 6.557
_cell_angle_alpha 90.00
_cell_angle_beta 116.29
_cell_angle_gamma 90.00
_space_group_name_H-M_alt 'C 1 2/m 1'
_space_group_IT_number 12
loop_
_space_group_symop_operation_xyz
'x,y,z'
'-x,-y,-z'
'-x,y,-z'
'x,-y,z'
'x+1/2,y+1/2,z'
'-x+1/2,-y+1/2,-z'
'-x+1/2,y+1/2,-z'
'x+1/2,-y+1/2,z'
loop_
_atom_site_label
_atom_site_type_symbol
_atom_site_fract_x
_atom_site_fract_y
_atom_site_fract_z
Ba1 Ba 0.248 0.000 0.235
Pu1 Pu 0.000 0.500 0.000
O1 O 0.059 0.000 0.524
O2 O 0.095 0.278 0.909
O3 O 0.148 0.500 0.310
```

***

A relaxed BaPuO2 crystal. Source: the Alexandria database, functional GGA-PBE.

```
data_BaPuO2
_chemical_formula_sum 'Ba4 Pu4 O8'
_cell_length_a 6.273
_cell_length_b 3.793
_cell_length_c 14.514
_cell_angle_alpha 90.00
_cell_angle_beta 90.00
_cell_angle_gamma 90.00
_space_group_name_H-M_alt 'P n m a'
_space_group_IT_number 62
loop_
_space_group_symop_operation_xyz
'x,y,z'
'-x,-y,-z'
'-x+1/2,-y,z+1/2'
'x+1/2,y,-z+1/2'
'x+1/2,-y+1/2,-z+1/2'
'-x+1/2,y+1/2,z+1/2'
'-x,y+1/2,-z'
'x,-y+1/2,z'
loop_
_atom_site_label
_atom_site_type_symbol
_atom_site_fract_x
_atom_site_fract_y
_atom_site_fract_z
Ba1 Ba 0.238 0.250 0.075
Pu1 Pu 0.236 0.750 0.326
O1 O 0.113 0.250 0.686
O2 O 0.222 0.750 0.918
```

Values from the calculation:
E above lowest polymorph = 0.028 eV per atom

***

A relaxed Ba6Pu3O14 crystal. Source: the Alexandria database, functional GGA-PBE.

```
data_Ba6Pu3O14
_chemical_formula_sum 'Ba6 Pu3 O14'
_cell_length_a 9.4752
_cell_length_b 9.4752
_cell_length_c 6.1567
_cell_angle_alpha 90.00
_cell_angle_beta 90.00
_cell_angle_gamma 120.00
_space_group_name_H-M_alt 'P 3'
_space_group_IT_number 143
loop_
_space_group_symop_operation_xyz
'x,y,z'
'-y,x-y,z'
'-x+y,-x,z'
loop_
_atom_site_label
_atom_site_type_symbol
_atom_site_fract_x
_atom_site_fract_y
_atom_site_fract_z
Ba1 Ba 0.0207 0.5684 0.0000
Ba2 Ba 0.2698 0.0491 0.5244
Pu1 Pu 0.0000 0.0000 0.9886
Pu2 Pu 0.3333 0.6667 0.4479
Pu3 Pu 0.6667 0.3333 0.3826
O1 O 0.0000 0.0000 0.3290
O2 O 0.0402 0.8369 0.8189
O3 O 0.2001 0.4550 0.2779
O4 O 0.3333 0.6667 0.7783
O5 O 0.4684 0.2074 0.1880
O6 O 0.5387 0.4067 0.5684
```

***

| no. | spin magnetization (μB per formula unit) | final energy (Ry/atom) | formation energy without anion corrections (eV/atom) |
| --- | --- | --- | --- |
| 1 | 0.0 | -0.5676 | -2.646 |
| 2 | 0.0 | -0.4709 | -1.667 |
| 3 | 0.5 | -0.4790 | -1.922 |
| 4 | 4.5 | -0.4538 | -1.289 |
| 5 | 2.9 | -0.4809 | -1.635 |
| 6 | 0.0 | -0.5162 | -2.581 |
| 7 | 0.0 | -0.3856 | -1.571 |
| 8 | 5.7 | -0.6246 | -1.956 |
| 9 | 10.0 | -0.6722 | -2.779 |
| 10 | 2.0 | -0.5342 | -2.009 |
| 11 | 5.9 | -0.6599 | -2.436 |
| 12 | 8.0 | -0.5908 | -2.649 |